Entry 1:
CaRe | PBE | optimized geometry

Cell: 5.1097 5.1097 7.7854 Å, 90.00 90.00 120.00°
With the nearest neighbours (Å) after each atom.
Atoms (fractional coordinates):
Ca 0.0000 0.0000 0.2500  3 Ca 2.95, 6 Re 3.17
Ca 0.0000 0.0000 0.7500  3 Ca 2.95, 6 Re 3.17
Ca 0.3333 0.6667 0.2500  2 Re 2.74, 3 Ca 2.95
Ca 0.6667 0.3333 0.7500  2 Re 2.74, 3 Ca 2.95
Re 0.3333 0.6667 0.6020  1 Re 2.31
Re 0.3333 0.6667 0.8980  1 Re 2.31
Re 0.6667 0.3333 0.1020  1 Re 2.31
Re 0.6667 0.3333 0.3980  1 Re 2.31

Calculated values
ΔE to the lowest computed polymorph (eV/f.u.): 1.204
Formation enthalpy at 0 K (eV/f.u.): 1.81
Magnetic moment (Bohr magnetons per cell): 0.0
E_tot (eV/atom): -6.32
Symmetry: P6_3/mmc
Calculated volume (Å³ per atom): 22.0

Entry 2:
Cs4Pa3CuSe8 | PBE | optimized geometry

Cell: 8.4694 8.4694 9.7497 Å, 115.85 115.85 59.67°
With the nearest neighbours (Å) after each atom.
Atoms (fractional coordinates):
Cs 0.0000 0.0000 0.0000  6 Se 3.60-3.64
Cs 0.0000 0.5000 0.0000  6 Se 3.57-3.63
Cs 0.5000 0.0000 0.0000  6 Se 3.57-3.63
Cs 0.5000 0.5000 0.0000  6 Se 3.58-3.62
Pa 0.0000 0.0000 0.5000  6 Se 2.89-2.92
Pa 0.0000 0.5000 0.5000  6 Se 2.88-2.92
Pa 0.5000 0.0000 0.5000  6 Se 2.88-2.92
Cu 0.5000 0.5000 0.5000  6 Se 2.86-2.92
Se 0.2295 0.7255 0.6816  1 Cu 2.86, 2 Pa 2.89
Se 0.2298 0.2298 0.6904  3 Pa 2.92
Se 0.2700 0.2700 0.3151  2 Pa 2.88, 1 Cu 2.92
Se 0.2745 0.7705 0.3184  1 Cu 2.86, 2 Pa 2.89
Se 0.7255 0.2295 0.6816  1 Cu 2.86, 2 Pa 2.89
Se 0.7300 0.7300 0.6849  2 Pa 2.88, 1 Cu 2.92
Se 0.7702 0.7702 0.3096  3 Pa 2.92
Se 0.7705 0.2745 0.3184  1 Cu 2.86, 2 Pa 2.89

Calculated values
Magnetic moment (Bohr magnetons per cell): 4.0
E_tot (eV/atom): -5.14
Symmetry: C2/m
Calculated volume (Å³ per atom): 32.6

Entry 3:
UH10C4SN3O9 | PBE | optimized geometry

Cell: 8.5104 9.1417 9.8069 Å, 113.91 92.44 90.40°
With the nearest neighbours (Å) after each atom.
Atoms (fractional coordinates):
U 0.2446 0.2796 0.1137  2 O 1.82
U 0.7554 0.7204 0.8863  2 O 1.82
H 0.0834 0.1026 0.6758  1 N 1.03
H 0.1405 0.9178 0.5574  1 N 1.05
H 0.1473 0.5244 0.7711  1 N 1.04
H 0.2329 0.0130 0.7280  1 N 1.03
H 0.2531 0.0872 0.5936  1 N 1.05
H 0.2730 0.2116 0.4291  1 O 0.99
H 0.2948 0.4107 0.6716  1 N 1.06
H 0.2994 0.4790 0.8604  1 N 1.04
H 0.3304 0.6105 0.7822  1 N 1.03
H 0.4448 0.2345 0.5066  1 O 1.01
H 0.5552 0.7655 0.4934  1 O 1.01
H 0.6696 0.3895 0.2178  1 N 1.03
H 0.7006 0.5210 0.1396  1 N 1.04
H 0.7052 0.5893 0.3284  1 N 1.06
H 0.7270 0.7884 0.5709  1 O 0.99
H 0.7469 0.9128 0.4064  1 N 1.05
H 0.7671 0.9870 0.2720  1 N 1.03
H 0.8527 0.4756 0.2289  1 N 1.04
H 0.8595 0.0822 0.4426  1 N 1.05
H 0.9166 0.8974 0.3242  1 N 1.03
C 0.1227 0.6275 0.3494  2 O 1.25-1.29
C 0.1248 0.8041 0.0864  1 N 1.20
C 0.3007 0.6279 0.3917  2 O 1.25-1.29
C 0.4428 0.9494 0.9343  2 O 1.27
C 0.5572 0.0506 0.0657  2 O 1.27
C 0.6993 0.3721 0.6083  2 O 1.25-1.29
C 0.8752 0.1959 0.9136  1 N 1.20
C 0.8773 0.3725 0.6506  2 O 1.25-1.29
S 0.2964 0.8095 0.1614  1 C 1.60
S 0.7036 0.1905 0.8386  1 C 1.60
N 0.0040 0.2019 0.9702  1 C 1.20
N 0.1779 0.0297 0.6396  4 H 1.03-1.05
N 0.2685 0.5084 0.7713  4 H 1.03-1.06
N 0.7315 0.4916 0.2287  4 H 1.03-1.06
N 0.8221 0.9703 0.3604  4 H 1.03-1.05
N 0.9960 0.7981 0.0298  1 C 1.20
O 0.0420 0.7466 0.4159  1 C 1.25
O 0.0715 0.4953 0.2430  1 C 1.29
O 0.1868 0.1940 0.2429  1 U 1.82, 1 H 1.88
O 0.3078 0.3648 0.9853  1 U 1.82, 1 H 1.90
O 0.3170 0.0164 0.9187  1 C 1.27
O 0.3297 0.2278 0.5241  2 H 0.99-1.01
O 0.3624 0.7468 0.4963  1 C 1.25
O 0.3695 0.4988 0.3101  1 C 1.29
O 0.4841 0.8093 0.8529  1 C 1.27
O 0.5159 0.1907 0.1471  1 C 1.27
O 0.6305 0.5012 0.6899  1 C 1.29
O 0.6376 0.2532 0.5037  1 C 1.25
O 0.6703 0.7722 0.4759  2 H 0.99-1.01
O 0.6830 0.9836 0.0813  1 C 1.27
O 0.6922 0.6352 0.0147  1 U 1.82, 1 H 1.90
O 0.8132 0.8060 0.7571  1 U 1.82, 1 H 1.88
O 0.9285 0.5047 0.7570  1 C 1.29
O 0.9580 0.2534 0.5841  1 C 1.25

Calculated values
Magnetic moment (Bohr magnetons per cell): 0.2
E_tot (eV/atom): -6.60
Symmetry: P-1
Calculated volume (Å³ per atom): 12.4

Repeat the first record exactly.
CaRe | PBE | optimized geometry

Cell: 5.1097 5.1097 7.7854 Å, 90.00 90.00 120.00°
With the nearest neighbours (Å) after each atom.
Atoms (fractional coordinates):
Ca 0.0000 0.0000 0.2500  3 Ca 2.95, 6 Re 3.17
Ca 0.0000 0.0000 0.7500  3 Ca 2.95, 6 Re 3.17
Ca 0.3333 0.6667 0.2500  2 Re 2.74, 3 Ca 2.95
Ca 0.6667 0.3333 0.7500  2 Re 2.74, 3 Ca 2.95
Re 0.3333 0.6667 0.6020  1 Re 2.31
Re 0.3333 0.6667 0.8980  1 Re 2.31
Re 0.6667 0.3333 0.1020  1 Re 2.31
Re 0.6667 0.3333 0.3980  1 Re 2.31

Calculated values
ΔE to the lowest computed polymorph (eV/f.u.): 1.204
Formation enthalpy at 0 K (eV/f.u.): 1.81
Magnetic moment (Bohr magnetons per cell): 0.0
E_tot (eV/atom): -6.32
Symmetry: P6_3/mmc
Calculated volume (Å³ per atom): 22.0

Among the records above, which one has the lowest calculated volume?
UH10C4SN3O9

What is the formula in the third record?
UH10C4SN3O9